Record 1
Density functional theory data (PBE) for CrGaTc after structural relaxation.

CIF file:
```
data_CrGaTc
_chemical_formula_sum 'Cr2 Ga2 Tc2'
_symmetry_space_group_name_H-M 'P 1'
_symmetry_Int_Tables_number 1
_cell_length_a 2.728
_cell_length_b 4.988
_cell_length_c 6.462
_cell_angle_alpha 92.72
_cell_angle_beta 99.42
_cell_angle_gamma 102.67
loop_
_symmetry_equiv_pos_as_xyz
'x,y,z'
loop_
_atom_site_label
_atom_site_type_symbol
_atom_site_fract_x
_atom_site_fract_y
_atom_site_fract_z
_atom_site_occupancy
Cr1 Cr 0.000 0.000 0.000 1
Cr2 Cr 0.500 0.500 0.000 1
Ga1 Ga 0.030 0.311 0.334 1
Ga2 Ga 0.970 0.689 0.666 1
Tc1 Tc 0.394 0.828 0.313 1
Tc2 Tc 0.606 0.172 0.687 1
```

Properties
- Volume: 14.05 Å³/atom
- Polymorph energy (0 for the lowest one): 252 meV per atom
- Formation energy from the elements: 105 meV per atom

Record 2
Density functional theory data (PBE) for Cr3GaTc after structural relaxation.

CIF file:
```
data_Cr3GaTc
_chemical_formula_sum 'Cr3 Ga1 Tc1'
_symmetry_space_group_name_H-M 'P 1'
_symmetry_Int_Tables_number 1
_cell_length_a 4.629
_cell_length_b 4.629
_cell_length_c 4.629
_cell_angle_alpha 90.00
_cell_angle_beta 90.00
_cell_angle_gamma 90.00
loop_
_symmetry_equiv_pos_as_xyz
'x,y,z'
loop_
_atom_site_label
_atom_site_type_symbol
_atom_site_fract_x
_atom_site_fract_y
_atom_site_fract_z
_atom_site_occupancy
Cr1 Cr 0.000 0.000 0.500 1
Cr2 Cr 0.000 0.500 0.000 1
Cr3 Cr 0.500 0.000 0.000 1
Ga1 Ga 0.500 0.500 0.500 1
Tc1 Tc 0.000 0.000 0.000 1
```

Properties
- Volume: 19.84 Å³/atom
- Polymorph energy (0 for the lowest one): 0 meV per atom
- Formation energy from the elements: 1255 meV per atom

Record 3
Density functional theory data (PBE) for CrGaTc2 after structural relaxation.

CIF file:
```
data_CrGaTc2
_chemical_formula_sum 'Cr2 Ga2 Tc4'
_symmetry_space_group_name_H-M 'P 1'
_symmetry_Int_Tables_number 1
_cell_length_a 5.557
_cell_length_b 5.557
_cell_length_c 5.557
_cell_angle_alpha 102.25
_cell_angle_beta 102.25
_cell_angle_gamma 125.14
loop_
_symmetry_equiv_pos_as_xyz
'x,y,z'
loop_
_atom_site_label
_atom_site_type_symbol
_atom_site_fract_x
_atom_site_fract_y
_atom_site_fract_z
_atom_site_occupancy
Cr1 Cr 0.000 0.000 0.000 1
Cr2 Cr 0.750 0.250 0.500 1
Ga1 Ga 0.250 0.750 0.500 1
Ga2 Ga 0.500 0.500 0.000 1
Tc1 Tc 0.069 0.625 0.944 1
Tc2 Tc 0.375 0.319 0.444 1
Tc3 Tc 0.681 0.125 0.056 1
Tc4 Tc 0.875 0.931 0.556 1
```

Properties
- Volume: 15.57 Å³/atom
- Formation energy from the elements: 507 meV per atom

Record 4
Density functional theory data (PBE) for CrGaTc after structural relaxation.

CIF file:
```
data_CrGaTc
_chemical_formula_sum 'Cr1 Ga1 Tc1'
_symmetry_space_group_name_H-M 'P 1'
_symmetry_Int_Tables_number 1
_cell_length_a 6.345
_cell_length_b 6.345
_cell_length_c 6.345
_cell_angle_alpha 25.55
_cell_angle_beta 25.55
_cell_angle_gamma 25.55
loop_
_symmetry_equiv_pos_as_xyz
'x,y,z'
loop_
_atom_site_label
_atom_site_type_symbol
_atom_site_fract_x
_atom_site_fract_y
_atom_site_fract_z
_atom_site_occupancy
Cr1 Cr 0.000 0.000 0.000 1
Ga1 Ga 0.779 0.779 0.779 1
Tc1 Tc 0.231 0.231 0.231 1
```

Properties
- Volume: 13.95 Å³/atom
- Polymorph energy (0 for the lowest one): 130 meV per atom
- Formation energy from the elements: -17 meV per atom

Record 5
Density functional theory data (PBE) for Cr2Ga2Tc after structural relaxation.

CIF file:
```
data_Cr2Ga2Tc
_chemical_formula_sum 'Cr4 Ga4 Tc2'
_symmetry_space_group_name_H-M 'P 1'
_symmetry_Int_Tables_number 1
_cell_length_a 6.745
_cell_length_b 6.745
_cell_length_c 3.058
_cell_angle_alpha 90.00
_cell_angle_beta 90.00
_cell_angle_gamma 90.00
loop_
_symmetry_equiv_pos_as_xyz
'x,y,z'
loop_
_atom_site_label
_atom_site_type_symbol
_atom_site_fract_x
_atom_site_fract_y
_atom_site_fract_z
_atom_site_occupancy
Cr1 Cr 0.167 0.333 0.000 1
Cr2 Cr 0.333 0.833 0.000 1
Cr3 Cr 0.667 0.167 0.000 1
Cr4 Cr 0.833 0.667 0.000 1
Ga1 Ga 0.134 0.634 0.500 1
Ga2 Ga 0.366 0.134 0.500 1
Ga3 Ga 0.634 0.866 0.500 1
Ga4 Ga 0.866 0.366 0.500 1
Tc1 Tc 0.000 0.000 0.500 1
Tc2 Tc 0.500 0.500 0.500 1
```

Properties
- Volume: 13.91 Å³/atom
- Formation energy from the elements: 155 meV per atom

Record 6
Density functional theory data (PBE) for CrGaTc after structural relaxation.

CIF file:
```
data_CrGaTc
_chemical_formula_sum 'Cr1 Ga1 Tc1'
_symmetry_space_group_name_H-M 'P 1'
_symmetry_Int_Tables_number 1
_cell_length_a 4.915
_cell_length_b 4.915
_cell_length_c 4.915
_cell_angle_alpha 144.16
_cell_angle_beta 144.16
_cell_angle_gamma 51.59
loop_
_symmetry_equiv_pos_as_xyz
'x,y,z'
loop_
_atom_site_label
_atom_site_type_symbol
_atom_site_fract_x
_atom_site_fract_y
_atom_site_fract_z
_atom_site_occupancy
Cr1 Cr 0.000 0.000 0.000 1
Ga1 Ga 0.670 0.670 0.000 1
Tc1 Tc 0.352 0.352 0.000 1
```

Properties
- Volume: 13.49 Å³/atom
- Polymorph energy (0 for the lowest one): 0 meV per atom
- Formation energy from the elements: -147 meV per atom

Record 7
Density functional theory data (PBE) for CrGaTc after structural relaxation.

CIF file:
```
data_CrGaTc
_chemical_formula_sum 'Cr1 Ga1 Tc1'
_symmetry_space_group_name_H-M 'P 1'
_symmetry_Int_Tables_number 1
_cell_length_a 4.199
_cell_length_b 4.199
_cell_length_c 2.673
_cell_angle_alpha 90.00
_cell_angle_beta 90.00
_cell_angle_gamma 120.00
loop_
_symmetry_equiv_pos_as_xyz
'x,y,z'
loop_
_atom_site_label
_atom_site_type_symbol
_atom_site_fract_x
_atom_site_fract_y
_atom_site_fract_z
_atom_site_occupancy
Cr1 Cr 0.000 0.000 0.000 1
Ga1 Ga 0.667 0.333 0.327 1
Tc1 Tc 0.333 0.667 0.745 1
```

Properties
- Volume: 13.61 Å³/atom
- Polymorph energy (0 for the lowest one): 167 meV per atom
- Formation energy from the elements: 21 meV per atom

Record 8
Density functional theory data (PBE) for Cr3GaTc after structural relaxation.

CIF file:
```
data_Cr3GaTc
_chemical_formula_sum 'Cr3 Ga1 Tc1'
_symmetry_space_group_name_H-M 'P 1'
_symmetry_Int_Tables_number 1
_cell_length_a 4.504
_cell_length_b 4.504
_cell_length_c 4.504
_cell_angle_alpha 90.00
_cell_angle_beta 90.00
_cell_angle_gamma 90.00
loop_
_symmetry_equiv_pos_as_xyz
'x,y,z'
loop_
_atom_site_label
_atom_site_type_symbol
_atom_site_fract_x
_atom_site_fract_y
_atom_site_fract_z
_atom_site_occupancy
Cr1 Cr 0.000 0.000 0.500 1
Cr2 Cr 0.000 0.500 0.000 1
Cr3 Cr 0.500 0.000 0.000 1
Ga1 Ga 0.000 0.000 0.000 1
Tc1 Tc 0.500 0.500 0.500 1
```

Properties
- Volume: 18.27 Å³/atom
- Polymorph energy (0 for the lowest one): 260 meV per atom
- Formation energy from the elements: 1515 meV per atom

Record 9
Density functional theory data (PBE) for CrGaTc after structural relaxation.

CIF file:
```
data_CrGaTc
_chemical_formula_sum 'Cr2 Ga2 Tc2'
_symmetry_space_group_name_H-M 'P 1'
_symmetry_Int_Tables_number 1
_cell_length_a 4.882
_cell_length_b 4.882
_cell_length_c 5.208
_cell_angle_alpha 119.96
_cell_angle_beta 119.96
_cell_angle_gamma 51.95
loop_
_symmetry_equiv_pos_as_xyz
'x,y,z'
loop_
_atom_site_label
_atom_site_type_symbol
_atom_site_fract_x
_atom_site_fract_y
_atom_site_fract_z
_atom_site_occupancy
Cr1 Cr 0.000 0.000 0.000 1
Cr2 Cr 0.688 0.688 0.528 1
Ga1 Ga 0.005 0.005 0.508 1
Ga2 Ga 0.344 0.344 0.016 1
Tc1 Tc 0.322 0.322 0.493 1
Tc2 Tc 0.658 0.658 0.002 1
```

Properties
- Volume: 13.55 Å³/atom
- Polymorph energy (0 for the lowest one): 102 meV per atom
- Formation energy from the elements: -45 meV per atom

Record 10
Density functional theory data (PBE) for CrGaTc3 after structural relaxation.

CIF file:
```
data_CrGaTc3
_chemical_formula_sum 'Cr1 Ga1 Tc3'
_symmetry_space_group_name_H-M 'P 1'
_symmetry_Int_Tables_number 1
_cell_length_a 4.428
_cell_length_b 4.428
_cell_length_c 4.428
_cell_angle_alpha 90.00
_cell_angle_beta 90.00
_cell_angle_gamma 90.00
loop_
_symmetry_equiv_pos_as_xyz
'x,y,z'
loop_
_atom_site_label
_atom_site_type_symbol
_atom_site_fract_x
_atom_site_fract_y
_atom_site_fract_z
_atom_site_occupancy
Cr1 Cr 0.000 0.000 0.000 1
Ga1 Ga 0.500 0.500 0.500 1
Tc1 Tc 0.000 0.000 0.500 1
Tc2 Tc 0.000 0.500 0.000 1
Tc3 Tc 0.500 0.000 0.000 1
```

Properties
- Volume: 17.37 Å³/atom
- Polymorph energy (0 for the lowest one): 0 meV per atom
- Formation energy from the elements: 1155 meV per atom

Record 11
Density functional theory data (PBE) for Cr2GaTc after structural relaxation.

CIF file:
```
data_Cr2GaTc
_chemical_formula_sum 'Cr4 Ga2 Tc2'
_symmetry_space_group_name_H-M 'P 1'
_symmetry_Int_Tables_number 1
_cell_length_a 5.443
_cell_length_b 5.443
_cell_length_c 5.443
_cell_angle_alpha 102.61
_cell_angle_beta 102.61
_cell_angle_gamma 124.29
loop_
_symmetry_equiv_pos_as_xyz
'x,y,z'
loop_
_atom_site_label
_atom_site_type_symbol
_atom_site_fract_x
_atom_site_fract_y
_atom_site_fract_z
_atom_site_occupancy
Cr1 Cr 0.091 0.125 0.466 1
Cr2 Cr 0.375 0.909 0.034 1
Cr3 Cr 0.659 0.625 0.534 1
Cr4 Cr 0.875 0.341 0.966 1
Ga1 Ga 0.250 0.750 0.500 1
Ga2 Ga 0.500 0.500 0.000 1
Tc1 Tc 0.000 0.000 0.000 1
Tc2 Tc 0.750 0.250 0.500 1
```

Properties
- Volume: 14.72 Å³/atom
- Formation energy from the elements: 648 meV per atom

Record 12
Density functional theory data (PBE) for CrGaTc after structural relaxation.

CIF file:
```
data_CrGaTc
_chemical_formula_sum 'Cr2 Ga2 Tc2'
_symmetry_space_group_name_H-M 'P 1'
_symmetry_Int_Tables_number 1
_cell_length_a 6.836
_cell_length_b 6.836
_cell_length_c 6.836
_cell_angle_alpha 148.75
_cell_angle_beta 148.75
_cell_angle_gamma 44.78
loop_
_symmetry_equiv_pos_as_xyz
'x,y,z'
loop_
_atom_site_label
_atom_site_type_symbol
_atom_site_fract_x
_atom_site_fract_y
_atom_site_fract_z
_atom_site_occupancy
Cr1 Cr 0.000 0.500 0.500 1
Cr2 Cr 0.500 0.000 0.500 1
Ga1 Ga 0.149 0.149 0.000 1
Ga2 Ga 0.851 0.851 0.000 1
Tc1 Tc 0.354 0.354 0.000 1
Tc2 Tc 0.646 0.646 0.000 1
```

Properties
- Volume: 14.28 Å³/atom
- Polymorph energy (0 for the lowest one): 263 meV per atom
- Formation energy from the elements: 116 meV per atom